A plane-wave DFT calculation with PBE was carried out for a relaxed TaMn2Be crystal.

## Properties
formation energy = -1.3 kcal/mol of atoms
DFT total energy = -34.136 eV per formula unit

Unit cell a=3.9422 b=3.9443 c=3.2113 alpha=90.00 beta=90.00 gamma=90.00
Last column: nearest neighbours and their distance in Å.
Sites, in units of the cell vectors:
Be  0.0000  0.5000  0.5000  8 Mn 2.54, 4 Ta 2.79
Mn  0.5000  0.5000  0.0000  4 Be 2.54, 4 Ta 2.54, 4 Mn 2.79
Mn  0.0000  0.0000  0.0000  4 Ta 2.54, 4 Be 2.54, 4 Mn 2.79
Ta  0.5000  0.0000  0.5000  8 Mn 2.54, 4 Be 2.79